No. 1
The following is a PBE-GGA calculation of TaTi2Be after structural relaxation, from the Alexandria database.

Properties
Space-group type   I-42d (122)
DFT formation energy   1.579 eV/f.u.
ΔE to the lowest computed polymorph   387 meV per atom
Crystal system   tetragonal

Cell lengths 7.026, 7.026, 5.591 Å; angles 51.07, 51.07, 90.00 degrees
Atoms (fractional coordinates):
1 Ti 0.591 0.125 0.250
2 Ti 0.375 0.409 0.750
3 Ti 0.159 0.625 0.250
4 Ti 0.875 0.841 0.750
5 Be 0.250 0.750 0.500
6 Be 0.500 0.500 0.000
7 Ta 0.750 0.250 0.500
8 Ta 0.000 0.000 0.000

---

No. 2
The following is a PBE-GGA calculation of Be2TcP after structural relaxation, from the Alexandria database.

Properties
Space-group type   I-4m2 (119)
DFT formation energy   -0.761 eV/f.u.
Crystal system   tetragonal

Cell lengths 4.502, 4.502, 4.502 Å; angles 136.56, 136.56, 63.11 degrees
Atoms (fractional coordinates):
1 Be 0.000 0.000 0.000
2 Be 0.250 0.750 0.500
3 P 0.500 0.500 0.000
4 Tc 0.750 0.250 0.500

---

No. 3
The following is a PBE-GGA calculation of NiOs2Pb after structural relaxation, from the Alexandria database.

Properties
Space-group type   Cmmm (65)
DFT formation energy   4.347 eV/f.u.
Crystal system   orthorhombic

Cell lengths 2.807, 2.807, 9.737 Å; angles 90.00, 90.00, 117.74 degrees
Site moments in Bohr magnetons follow the coordinates.
Atoms (fractional coordinates):
1 Os 0.000 0.000 0.959  0.07
2 Os 0.000 0.000 0.541  0.07
3 Ni 0.500 0.500 0.750  0.20
4 Pb 0.500 0.500 0.250  0.00

---

No. 4
The following is a PBE-GGA calculation of BeCu2AgTe after structural relaxation, from the Alexandria database.

Properties
Space-group type   P4/mmm (123)
ΔE to the lowest computed polymorph   532 meV per atom
Crystal system   tetragonal

Cell lengths 4.880, 4.777, 4.880 Å; angles 90.00, 90.00, 90.00 degrees
Atoms (fractional coordinates):
1 Cu 0.500 0.000 0.000
2 Cu 0.000 0.000 0.500
3 Ag 0.500 0.500 0.500
4 Te 0.000 0.000 0.000
5 Be 0.000 0.500 0.000

---

No. 5
The following is a PBE-GGA calculation of LiPrMnIn after structural relaxation, from the Alexandria database.

Properties
Space-group type   F-43m (216)
DFT formation energy   -0.256 eV/f.u.
Crystal system   cubic

Cell lengths 4.956, 4.956, 4.956 Å; angles 60.00, 60.00, 60.00 degrees
Site moments in Bohr magnetons follow the coordinates.
Atoms (fractional coordinates):
1 In 0.750 0.750 0.750  -0.01
2 Li 0.500 0.500 0.500  -0.03
3 Pr 0.250 0.250 0.250  0.02
4 Mn 0.000 0.000 0.000  3.73

---

No. 6
The following is a PBE-GGA calculation of Sn2PdW after structural relaxation, from the Alexandria database.

Properties
Space-group type   Fm-3m (225)
DFT formation energy   1.261 eV/f.u.
ΔE to the lowest computed polymorph   0 meV per atom
Crystal system   cubic

Cell lengths 4.730, 4.730, 4.730 Å; angles 60.00, 60.00, 60.00 degrees
Atoms (fractional coordinates):
1 W 0.500 0.500 0.500
2 Sn 0.250 0.250 0.250
3 Sn 0.750 0.750 0.750
4 Pd 0.000 0.000 0.000

---

No. 7
The following is a PBE-GGA calculation of Pm4ErGa after structural relaxation, from the Alexandria database.

Properties
Space-group type   C2/c (15)
DFT formation energy   -0.573 eV/f.u.
Crystal system   monoclinic

Cell lengths 6.398, 9.164, 8.199 Å; angles 114.18, 100.16, 112.49 degrees
Atoms (fractional coordinates):
1 Pm 0.233 0.611 0.779
2 Pm 0.630 0.081 0.364
3 Pm 0.767 0.389 0.221
4 Pm 0.766 0.717 0.636
5 Pm 0.046 0.168 0.779
6 Pm 0.234 0.283 0.364
7 Pm 0.954 0.832 0.221
8 Pm 0.370 0.919 0.636
9 Ga 0.250 0.000 0.000
10 Ga 0.750 0.000 0.000
11 Er 0.345 0.595 0.189
12 Er 0.655 0.405 0.811

---

No. 8
The following is a PBE-GGA calculation of Pr3Th4Te8 after structural relaxation, from the Alexandria database.

Properties
Space-group type   C2/m (12)
Uncorrected energy   -5.849 eV per atom
Crystal system   monoclinic

Cell lengths 8.881, 8.934, 8.934 Å; angles 90.07, 119.72, 119.72 degrees
Atoms (fractional coordinates):
1 Te 0.999 0.259 0.259
2 Te 0.500 0.750 0.250
3 Te 0.001 0.741 0.741
4 Te 0.514 0.256 0.256
5 Te 0.500 0.250 0.750
6 Te 0.000 0.742 0.258
7 Te 0.000 0.258 0.742
8 Te 0.486 0.744 0.744
9 Th 0.000 0.000 0.500
10 Th 0.000 0.000 0.000
11 Th 0.500 0.000 0.000
12 Th 0.000 0.500 0.000
13 Pr 0.500 0.500 0.500
14 Pr 0.500 0.500 0.000
15 Pr 0.500 0.000 0.500

---

No. 9
The following is a PBE-GGA calculation of NaPr4Er3S8 after structural relaxation, from the Alexandria database.

Properties
Space-group type   R-3m (166)
Uncorrected energy   -6.142 eV per atom
Crystal system   trigonal

Cell lengths 7.943, 8.068, 7.942 Å; angles 119.49, 120.00, 90.00 degrees
Atoms (fractional coordinates):
1 S 0.246 0.731 0.491
2 S 0.260 0.270 0.015
3 S 0.754 0.269 0.509
4 S 0.257 0.272 0.514
5 S 0.743 0.728 0.486
6 S 0.740 0.730 0.985
7 S 0.755 0.270 0.015
8 S 0.245 0.730 0.985
9 Er 0.000 0.500 0.500
10 Er 0.500 0.500 0.500
11 Er 0.500 0.500 0.000
12 Pr 0.000 0.000 0.000
13 Pr 0.500 0.000 0.500
14 Pr 0.500 0.000 0.000
15 Pr 0.000 0.000 0.500
16 Na 0.000 0.500 0.000

---

No. 10
The following is a PBE-GGA calculation of MnNiSeBr2 after structural relaxation, from the Alexandria database.

Properties
Space-group type   P4/mmm (123)
ΔE to the lowest computed polymorph   186 meV per atom
Crystal system   tetragonal

Cell lengths 4.962, 4.962, 5.162 Å; angles 90.00, 90.00, 90.00 degrees
Site moments in Bohr magnetons follow the coordinates.
Atoms (fractional coordinates):
1 Se 0.000 0.000 0.500  0.14
2 Br 0.000 0.500 0.000  0.07
3 Br 0.500 0.000 0.000  0.07
4 Mn 0.000 0.000 0.000  3.86
5 Ni 0.500 0.500 0.500  1.10

---

No. 11
The following is a PBE-GGA calculation of NaTlRhAu after structural relaxation, from the Alexandria database.

Properties
Space-group type   F-43m (216)
DFT formation energy   0.093 eV/f.u.
Crystal system   cubic

Cell lengths 4.746, 4.746, 4.746 Å; angles 60.00, 60.00, 60.00 degrees
Atoms (fractional coordinates):
1 Na 0.250 0.250 0.250
2 Au 0.000 0.000 0.000
3 Tl 0.500 0.500 0.500
4 Rh 0.750 0.750 0.750

---

No. 12
The following is a PBE-GGA calculation of SiSI3 after structural relaxation, from the Alexandria database.

Properties
Space-group type   Pm-3m (221)
ΔE to the lowest computed polymorph   744 meV per atom
Crystal system   cubic

Cell lengths 5.580, 5.580, 5.580 Å; angles 90.00, 90.00, 90.00 degrees
Site moments in Bohr magnetons follow the coordinates.
Atoms (fractional coordinates):
1 I 0.000 0.500 0.000  0.09
2 I 0.500 0.000 0.000  0.16
3 I 0.000 0.000 0.500  0.15
4 S 0.500 0.500 0.500  1.16
5 Si 0.000 0.000 0.000  0.01

---

Number 1: magnetization 0.000 Bohr magnetons per cell. Number 2: magnetization 0.000 Bohr magnetons per cell. Number 3: magnetization 0.357 Bohr magnetons per cell. Number 4: magnetization 0.000 Bohr magnetons per cell. Number 5: magnetization 4.051 Bohr magnetons per cell. Number 6: magnetization 0.000 Bohr magnetons per cell. Number 7: magnetization 0.000 Bohr magnetons per cell. Number 8: magnetization 0.000 Bohr magnetons per cell. Number 9: magnetization 0.000 Bohr magnetons per cell. Number 10: magnetization 5.696 Bohr magnetons per cell. Number 11: magnetization 0.000 Bohr magnetons per cell. Number 12: magnetization 2.477 Bohr magnetons per cell.